Model one:
Entry from the Alexandria database: a relaxed Co2NiPt8 crystal (PBE).

**D(E_F)**: 13.2 states/eV/cell
**M_tot**: 7.190 μB/f.u.

Cell: 7.256 7.256 6.148 Å, 104.77 104.77 30.98°
Fractional coordinates of all 11 atoms:
1 Co 0.228 0.228 0.130
2 Co 0.772 0.772 0.870
3 Ni 0.500 0.500 0.500
4 Pt 0.047 0.047 0.232
5 Pt 0.140 0.140 0.693
6 Pt 0.318 0.318 0.585
7 Pt 0.403 0.403 0.044
8 Pt 0.597 0.597 0.956
9 Pt 0.682 0.682 0.415
10 Pt 0.860 0.860 0.307
11 Pt 0.953 0.953 0.768


Model two:
Entry from the Alexandria database: a relaxed Co2NiPt8 crystal (PBE).

**D(E_F)**: 16.7 states/eV/cell
**M_tot**: 7.404 μB/f.u.

Cell: 6.714 6.714 4.563 Å, 102.32 102.32 61.80°
Fractional coordinates of all 11 atoms:
1 Co 0.117 0.117 0.014
2 Co 0.883 0.883 0.986
3 Ni 0.000 0.000 0.500
4 Pt 0.220 0.220 0.579
5 Pt 0.227 0.630 0.710
6 Pt 0.352 0.352 0.161
7 Pt 0.370 0.773 0.290
8 Pt 0.630 0.227 0.710
9 Pt 0.648 0.648 0.839
10 Pt 0.773 0.370 0.290
11 Pt 0.780 0.780 0.421


Tell me which of them is the most stable. Sure, it is model one.


Model one:
Entry from the Alexandria database: a relaxed Co6NiPt2 crystal (PBE).

**D(E_F)**: 8.4 states/eV/cell
**M_tot**: 11.985 μB/f.u.

Cell: 4.939 4.939 5.322 Å, 90.09 90.09 60.03°
Fractional coordinates of all 9 atoms:
1 Co 0.146 0.677 0.668
2 Co 0.323 0.323 0.332
3 Co 0.323 0.854 0.332
4 Co 0.677 0.146 0.668
5 Co 0.677 0.677 0.668
6 Co 0.854 0.323 0.332
7 Ni 0.500 0.500 0.000
8 Pt 0.167 0.167 0.865
9 Pt 0.833 0.833 0.135


Model two:
Entry from the Alexandria database: a relaxed Co6NiPt2 crystal (PBE).

**D(E_F)**: 9.3 states/eV/cell
**M_tot**: 11.880 μB/f.u.

Cell: 5.754 5.754 5.792 Å, 107.31 107.31 36.88°
Fractional coordinates of all 9 atoms:
1 Co 0.120 0.120 0.176
2 Co 0.226 0.226 0.828
3 Co 0.327 0.327 0.499
4 Co 0.673 0.673 0.501
5 Co 0.774 0.774 0.172
6 Co 0.880 0.880 0.824
7 Ni 0.000 0.000 0.500
8 Pt 0.442 0.442 0.173
9 Pt 0.558 0.558 0.827


Tell me which of them is the most stable. Sure, it is model two.


Model one:
Entry from the Alexandria database: a relaxed Co2Ni5Pt4 crystal (PBE).

**D(E_F)**: 12.5 states/eV/cell
**M_tot**: 8.536 μB/f.u.

Cell: 8.302 8.302 6.600 Å, 91.50 91.50 18.46°
Fractional coordinates of all 11 atoms:
1 Co 0.058 0.058 0.371
2 Co 0.942 0.942 0.629
3 Ni 0.000 0.000 0.000
4 Ni 0.315 0.315 0.548
5 Ni 0.376 0.376 0.900
6 Ni 0.624 0.624 0.100
7 Ni 0.685 0.685 0.452
8 Pt 0.261 0.261 0.181
9 Pt 0.426 0.426 0.282
10 Pt 0.574 0.574 0.718
11 Pt 0.739 0.739 0.819


Model two:
Entry from the Alexandria database: a relaxed Co2Ni5Pt4 crystal (PBE).

**D(E_F)**: 15.2 states/eV/cell
**M_tot**: 8.633 μB/f.u.

Cell: 6.514 6.514 6.514 Å, 144.60 112.26 78.81°
Fractional coordinates of all 11 atoms:
1 Co 0.126 0.126 0.000
2 Co 0.874 0.874 0.000
3 Ni 0.000 0.500 0.500
4 Ni 0.063 0.725 0.338
5 Ni 0.387 0.725 0.662
6 Ni 0.613 0.275 0.338
7 Ni 0.937 0.275 0.662
8 Pt 0.300 0.000 0.300
9 Pt 0.367 0.367 0.000
10 Pt 0.633 0.633 0.000
11 Pt 0.700 0.000 0.700


Tell me which of them is the most stable. Sure, it is model one.


Model one:
Entry from the Alexandria database: a relaxed Co2Ni4Pt crystal (PBE).

**D(E_F)**: 9.9 states/eV/cell
**M_tot**: 6.724 μB/f.u.

Cell: 3.987 4.404 5.741 Å, 105.59 93.10 112.54°
Fractional coordinates of all 7 atoms:
1 Co 0.237 0.467 0.134
2 Co 0.763 0.533 0.866
3 Ni 0.000 0.500 0.500
4 Ni 0.042 0.087 0.728
5 Ni 0.500 0.000 0.500
6 Ni 0.958 0.913 0.272
7 Pt 0.500 0.000 0.000


Model two:
Entry from the Alexandria database: a relaxed Co2Ni4Pt crystal (PBE).

**D(E_F)**: 21.2 states/eV/cell
**M_tot**: 6.899 μB/f.u.

Cell: 4.981 4.981 7.446 Å, 90.00 90.00 104.97°
Fractional coordinates of all 14 atoms:
1 Co 0.188 0.723 0.000
2 Co 0.277 0.812 0.500
3 Co 0.723 0.188 0.500
4 Co 0.812 0.277 0.000
5 Ni 0.000 0.500 0.279
6 Ni 0.000 0.500 0.721
7 Ni 0.283 0.316 0.500
8 Ni 0.316 0.283 0.000
9 Ni 0.500 0.000 0.221
10 Ni 0.500 0.000 0.779
11 Ni 0.684 0.717 0.000
12 Ni 0.717 0.684 0.500
13 Pt 0.000 0.000 0.250
14 Pt 0.000 0.000 0.750


Tell me which of them is the most stable. Sure, it is model two.


Model one:
Entry from the Alexandria database: a relaxed Co3Ni3Pt2 crystal (PBE).

**D(E_F)**: 18.9 states/eV/cell
**M_tot**: 8.243 μB/f.u.

Cell: 4.319 4.319 13.689 Å, 90.00 90.00 127.97°
Fractional coordinates of all 16 atoms:
1 Co 0.050 0.950 0.580
2 Co 0.050 0.950 0.920
3 Co 0.103 0.897 0.750
4 Co 0.897 0.103 0.250
5 Co 0.950 0.050 0.080
6 Co 0.950 0.050 0.420
7 Ni 0.354 0.646 0.531
8 Ni 0.354 0.646 0.969
9 Ni 0.420 0.580 0.750
10 Ni 0.580 0.420 0.250
11 Ni 0.646 0.354 0.031
12 Ni 0.646 0.354 0.469
13 Pt 0.255 0.745 0.150
14 Pt 0.255 0.745 0.350
15 Pt 0.745 0.255 0.650
16 Pt 0.745 0.255 0.850


Model two:
Entry from the Alexandria database: a relaxed Co3Ni3Pt2 crystal (PBE).

**D(E_F)**: 21.7 states/eV/cell
**M_tot**: 8.090 μB/f.u.

Cell: 4.252 4.271 10.885 Å, 90.00 90.00 90.00°
Fractional coordinates of all 16 atoms:
1 Co 0.000 0.000 0.000
2 Co 0.000 0.500 0.389
3 Co 0.000 0.500 0.611
4 Co 0.500 0.000 0.111
5 Co 0.500 0.000 0.889
6 Co 0.500 0.500 0.500
7 Ni 0.000 0.000 0.500
8 Ni 0.000 0.500 0.112
9 Ni 0.000 0.500 0.888
10 Ni 0.500 0.000 0.388
11 Ni 0.500 0.000 0.612
12 Ni 0.500 0.500 0.000
13 Pt 0.000 0.000 0.251
14 Pt 0.000 0.000 0.749
15 Pt 0.500 0.500 0.249
16 Pt 0.500 0.500 0.751


Tell me which of them is the most stable. Sure, it is model two.


Model one:
Entry from the Alexandria database: a relaxed Co2NiPt6 crystal (PBE).

**D(E_F)**: 11.7 states/eV/cell
**M_tot**: 5.150 μB/f.u.

Cell: 6.856 6.856 6.856 Å, 45.30 45.30 45.30°
Fractional coordinates of all 9 atoms:
1 Co 0.000 0.000 0.000
2 Co 0.123 0.123 0.123
3 Ni 0.379 0.379 0.379
4 Pt 0.144 0.674 0.632
5 Pt 0.388 0.495 0.942
6 Pt 0.495 0.942 0.388
7 Pt 0.632 0.144 0.674
8 Pt 0.674 0.632 0.144
9 Pt 0.942 0.388 0.495


Model two:
Entry from the Alexandria database: a relaxed Co2NiPt6 crystal (PBE).

**D(E_F)**: 7.4 states/eV/cell
**M_tot**: 6.902 μB/f.u.

Cell: 8.152 6.143 6.017 Å, 84.19 48.57 47.25°
Fractional coordinates of all 9 atoms:
1 Co 0.171 0.171 0.829
2 Co 0.829 0.829 0.171
3 Ni 0.500 0.500 0.500
4 Pt 0.156 0.844 0.156
5 Pt 0.176 0.491 0.509
6 Pt 0.491 0.176 0.824
7 Pt 0.509 0.824 0.176
8 Pt 0.824 0.509 0.491
9 Pt 0.844 0.156 0.844


Tell me which of them is the most stable. Sure, it is model two.


Model one:
Entry from the Alexandria database: a relaxed Co2Ni4Pt3 crystal (PBE).

**D(E_F)**: 25.2 states/eV/cell
**M_tot**: 7.377 μB/f.u.

Cell: 4.723 7.421 7.431 Å, 106.23 102.27 102.18°
Fractional coordinates of all 18 atoms:
1 Co 0.140 0.041 0.168
2 Co 0.360 0.332 0.460
3 Co 0.640 0.668 0.540
4 Co 0.860 0.959 0.832
5 Ni 0.009 0.323 0.961
6 Ni 0.103 0.148 0.645
7 Ni 0.397 0.855 0.352
8 Ni 0.491 0.539 0.177
9 Ni 0.509 0.461 0.823
10 Ni 0.603 0.145 0.648
11 Ni 0.897 0.852 0.355
12 Ni 0.991 0.677 0.039
13 Pt 0.031 0.521 0.317
14 Pt 0.250 0.833 0.666
15 Pt 0.469 0.182 0.978
16 Pt 0.531 0.818 0.022
17 Pt 0.750 0.167 0.334
18 Pt 0.969 0.479 0.683


Model two:
Entry from the Alexandria database: a relaxed Co2Ni4Pt3 crystal (PBE).

**D(E_F)**: 8.6 states/eV/cell
**M_tot**: 7.508 μB/f.u.

Cell: 5.853 5.853 5.927 Å, 107.15 107.15 36.24°
Fractional coordinates of all 9 atoms:
1 Co 0.172 0.172 0.002
2 Co 0.828 0.828 0.998
3 Ni 0.059 0.059 0.330
4 Ni 0.280 0.280 0.673
5 Ni 0.720 0.720 0.327
6 Ni 0.941 0.941 0.670
7 Pt 0.383 0.383 0.334
8 Pt 0.500 0.500 0.000
9 Pt 0.617 0.617 0.666


Tell me which of them is the most stable. Sure, it is model two.


Model one:
Entry from the Alexandria database: a relaxed Co3Ni2Pt crystal (PBE).

**D(E_F)**: 15.4 states/eV/cell
**M_tot**: 6.990 μB/f.u.

Cell: 4.832 4.832 6.352 Å, 97.50 97.50 94.51°
Fractional coordinates of all 12 atoms:
1 Co 0.070 0.930 0.750
2 Co 0.142 0.322 0.000
3 Co 0.322 0.142 0.500
4 Co 0.678 0.858 0.500
5 Co 0.858 0.678 0.000
6 Co 0.930 0.070 0.250
7 Ni 0.121 0.629 0.372
8 Ni 0.371 0.879 0.128
9 Ni 0.629 0.121 0.872
10 Ni 0.879 0.371 0.628
11 Pt 0.417 0.583 0.750
12 Pt 0.583 0.417 0.250


Model two:
Entry from the Alexandria database: a relaxed Co3Ni2Pt crystal (PBE).

**D(E_F)**: 12.4 states/eV/cell
**M_tot**: 7.027 μB/f.u.

Cell: 10.939 10.939 10.939 Å, 160.77 160.77 27.33°
Fractional coordinates of all 12 atoms:
1 Co 0.039 0.289 0.750
2 Co 0.289 0.039 0.250
3 Co 0.375 0.625 0.750
4 Co 0.625 0.375 0.250
5 Co 0.711 0.961 0.750
6 Co 0.961 0.711 0.250
7 Ni 0.210 0.460 0.750
8 Ni 0.460 0.210 0.250
9 Ni 0.540 0.790 0.750
10 Ni 0.790 0.540 0.250
11 Pt 0.125 0.875 0.250
12 Pt 0.875 0.125 0.750


Tell me which of them is the most stable. Sure, it is model two.